[1]
The following is a DFT calculation (GGA-PBEsol) of an optimized crystal structure of AlF3.

Structure (POSCAR):
```
AlF3
1.0
11.517 0.000 0.000
0.000 11.517 0.000
0.000 0.000 3.607
Al F
10 30
direct
0.000 0.500 0.000
0.076 0.208 0.000
0.208 0.924 0.000
0.292 0.424 0.000
0.424 0.708 0.000
0.500 0.000 0.000
0.576 0.292 0.000
0.708 0.576 0.000
0.792 0.076 0.000
0.924 0.792 0.000
0.000 0.344 0.000
0.000 0.500 0.500
0.000 0.656 0.000
0.067 0.859 0.000
0.077 0.208 0.500
0.141 0.067 0.000
0.156 0.500 0.000
0.208 0.923 0.500
0.216 0.284 0.000
0.284 0.784 0.000
0.292 0.423 0.500
0.344 0.000 0.000
0.359 0.567 0.000
0.423 0.708 0.500
0.433 0.359 0.000
0.500 0.000 0.500
0.500 0.156 0.000
0.500 0.844 0.000
0.567 0.641 0.000
0.577 0.292 0.500
0.641 0.433 0.000
0.656 0.000 0.000
0.708 0.577 0.500
0.716 0.216 0.000
0.784 0.716 0.000
0.792 0.077 0.500
0.844 0.500 0.000
0.859 0.933 0.000
0.923 0.792 0.500
0.933 0.141 0.000
```

Results
Its density of states at the Fermi level is 0.00 states/eV per cell. As for the space group: P4/mbm (127). The electronic total energy is -241.88 eV per cell.

[2]
The following is a DFT calculation (GGA-PBEsol) of an optimized crystal structure of Zn2Au.

Structure (POSCAR):
```
Zn2Au
1.0
4.922 -1.459 0.000
4.922 1.459 0.000
-1.778 0.000 6.245
Zn Au
4 2
direct
0.145 0.145 0.029
0.183 0.183 0.635
0.817 0.817 0.365
0.855 0.855 0.971
0.464 0.464 0.705
0.536 0.536 0.295
```

Results
Its density of states at the Fermi level is 1.59 states/eV per cell. As for the space group: C2/m (12). The electronic total energy is -15.16 eV per cell. The value obtained for the formation energy is -0.16 eV/atom.

[3]
The following is a DFT calculation (GGA-PBEsol) of an optimized crystal structure of YMn2Tc.

Structure (POSCAR):
```
YMn2Tc
1.0
2.961 0.000 0.000
0.000 2.961 0.000
0.000 0.000 6.879
Y Mn Tc
1 2 1
direct
0.000 0.000 0.000
0.000 0.000 0.470
0.500 0.500 0.325
0.500 0.500 0.680
```

Results
Its density of states at the Fermi level is 4.92 states/eV per cell. As for the polymorph energy (0 for the lowest one): 0.000 eV/atom. As for the space group: P4mm (99). The electronic total energy is -36.36 eV per cell. The value obtained for the formation energy is 0.31 eV/atom.